Entry 1:
# CaTaC3 (PBE-GGA, optimized geometry)
data_CaTaC3
_chemical_formula_sum 'Ca1 Ta1 C3'
_space_group_name_H-M_alt 'P m -3 m'
_space_group_IT_number 221
_space_group_name_Hall '-P 4 2 3'
_cell_length_a 4.034
_cell_length_b 4.034
_cell_length_c 4.034
_cell_angle_alpha 90.00
_cell_angle_beta 90.00
_cell_angle_gamma 90.00
loop_
_atom_site_label
_atom_site_type_symbol
_atom_site_fract_x
_atom_site_fract_y
_atom_site_fract_z
Ca1 Ca 0.000 0.000 0.000
Ta1 Ta 0.500 0.500 0.500
C1 C 0.000 0.000 0.500
# M_tot: 0.00 μB/f.u.
# VASP energy: -5.2407 eV/atom
# Energy above the lowest structure with this stoichiometry: 2123 meV/atom
# Formation energy: 3.0645 eV/atom

***

Entry 2:
# TaGeRh2 (PBE-GGA, optimized geometry)
data_TaGeRh2
_chemical_formula_sum 'Ta1 Ge1 Rh2'
_space_group_name_H-M_alt 'P 4/m m m'
_space_group_IT_number 123
_space_group_name_Hall '-P 4 2'
_cell_length_a 2.904
_cell_length_b 2.904
_cell_length_c 7.140
_cell_angle_alpha 90.00
_cell_angle_beta 90.00
_cell_angle_gamma 90.00
loop_
_atom_site_label
_atom_site_type_symbol
_atom_site_fract_x
_atom_site_fract_y
_atom_site_fract_z
Ta1 Ta 0.000 0.000 0.000
Ge1 Ge 0.000 0.000 0.500
Rh1 Rh 0.500 0.500 0.277
# M_tot: 0.00 μB/f.u.
# VASP energy: -8.2644 eV/atom
# Formation energy: -0.4712 eV/atom

***

Entry 3:
# ThAl2Tc (PBE-GGA, optimized geometry)
data_ThAl2Tc
_chemical_formula_sum 'Th4 Al8 Tc4'
_space_group_name_H-M_alt 'F m -3 m'
_space_group_IT_number 225
_space_group_name_Hall '-F 4 2 3'
_cell_length_a 6.769
_cell_length_b 6.769
_cell_length_c 6.769
_cell_angle_alpha 90.00
_cell_angle_beta 90.00
_cell_angle_gamma 90.00
loop_
_atom_site_label
_atom_site_type_symbol
_atom_site_fract_x
_atom_site_fract_y
_atom_site_fract_z
Th1 Th 0.000 0.000 0.000
Al1 Al 0.250 0.250 0.250
Tc1 Tc 0.000 0.000 0.500
# M_tot: 0.00 μB/f.u.
# VASP energy: -6.3854 eV/atom
# Energy above the lowest structure with this stoichiometry: 341 meV/atom
# Formation energy: -0.0677 eV/atom

***

Entry 4:
# SmHf2Th (PBE-GGA, optimized geometry)
data_SmHf2Th
_chemical_formula_sum 'Sm3 Hf6 Th3'
_space_group_name_H-M_alt 'R -3 m'
_space_group_IT_number 166
_space_group_name_Hall '-R 3 2"'
_cell_length_a 3.3864
_cell_length_b 3.3864
_cell_length_c 32.7063
_cell_angle_alpha 90.00
_cell_angle_beta 90.00
_cell_angle_gamma 120.00
loop_
_atom_site_label
_atom_site_type_symbol
_atom_site_fract_x
_atom_site_fract_y
_atom_site_fract_z
Sm1 Sm 0.0000 0.0000 0.0000
Hf1 Hf 0.0000 0.0000 0.2478
Th1 Th 0.0000 0.0000 0.5000
# M_tot: 0.00 μB/f.u.
# VASP energy: -7.7653 eV/atom
# Formation energy: 0.2461 eV/atom

***

Entry 5:
# TaNb5Ru6 (PBE-GGA, optimized geometry)
data_TaNb5Ru6
_chemical_formula_sum 'Ta1 Nb5 Ru6'
_space_group_name_H-M_alt 'P 1 2/m 1'
_space_group_IT_number 10
_cell_length_a 4.335
_cell_length_b 6.881
_cell_length_c 6.851
_cell_angle_alpha 90.00
_cell_angle_beta 108.32
_cell_angle_gamma 90.00
loop_
_space_group_symop_operation_xyz
'x,y,z'
'-x,-y,-z'
'-x,y,-z'
'x,-y,z'
loop_
_atom_site_label
_atom_site_type_symbol
_atom_site_fract_x
_atom_site_fract_y
_atom_site_fract_z
Ta1 Ta 0.000 0.000 0.000
Nb1 Nb 0.000 0.500 0.000
Nb2 Nb 0.333 0.000 0.666
Nb3 Nb 0.334 0.500 0.668
Ru1 Ru 0.166 0.234 0.332
Ru2 Ru 0.500 0.231 0.000
# M_tot: 0.00 μB/f.u.
# VASP energy: -10.0431 eV/atom
# Formation energy: -0.2218 eV/atom

***

Entry 6:
# Cs2NaTcCl6 (PBE-GGA, optimized geometry)
data_Cs2NaTcCl6
_chemical_formula_sum 'Cs12 Na6 Tc6 Cl36'
_space_group_name_H-M_alt 'R -3 m'
_space_group_IT_number 166
_space_group_name_Hall '-R 3 2"'
_cell_length_a 7.4616
_cell_length_b 7.4616
_cell_length_c 37.4712
_cell_angle_alpha 90.00
_cell_angle_beta 90.00
_cell_angle_gamma 120.00
loop_
_atom_site_label
_atom_site_type_symbol
_atom_site_fract_x
_atom_site_fract_y
_atom_site_fract_z
Cs1 Cs 0.0000 0.0000 0.1265
Cs2 Cs 0.0000 0.0000 0.2921
Na1 Na 0.0000 0.0000 0.4113
Tc1 Tc 0.0000 0.0000 0.0000
Tc2 Tc 0.0000 0.0000 0.5000
Cl1 Cl 0.0254 0.5127 0.1294
Cl2 Cl 0.0270 0.5135 0.7040
# M_tot: 2.00 μB/f.u.
# VASP energy: -3.8814 eV/atom

***

Entry 7:
# BaNbBAs2 (PBE-GGA, optimized geometry)
data_BaNbBAs2
_chemical_formula_sum 'Ba1 Nb1 B1 As2'
_space_group_name_H-M_alt 'P 4/m m m'
_space_group_IT_number 123
_space_group_name_Hall '-P 4 2'
_cell_length_a 4.954
_cell_length_b 4.954
_cell_length_c 6.293
_cell_angle_alpha 90.00
_cell_angle_beta 90.00
_cell_angle_gamma 90.00
loop_
_atom_site_label
_atom_site_type_symbol
_atom_site_fract_x
_atom_site_fract_y
_atom_site_fract_z
Ba1 Ba 0.000 0.000 0.000
Nb1 Nb 0.000 0.000 0.500
B1 B 0.500 0.500 0.000
As1 As 0.000 0.500 0.500
# M_tot: 1.64 μB/f.u.
# VASP energy: -4.6547 eV/atom
# Formation energy: 0.9391 eV/atom

***

Entry 8:
# PuSi2Rh4 (PBE-GGA, optimized geometry)
data_PuSi2Rh4
_chemical_formula_sum 'Pu4 Si8 Rh16'
_space_group_name_H-M_alt 'P n m a'
_space_group_IT_number 62
_cell_length_a 16.752
_cell_length_b 4.007
_cell_length_c 6.503
_cell_angle_alpha 90.00
_cell_angle_beta 90.00
_cell_angle_gamma 90.00
loop_
_space_group_symop_operation_xyz
'x,y,z'
'-x,-y,-z'
'-x+1/2,-y,z+1/2'
'x+1/2,y,-z+1/2'
'x+1/2,-y+1/2,-z+1/2'
'-x+1/2,y+1/2,z+1/2'
'-x,y+1/2,-z'
'x,-y+1/2,z'
loop_
_atom_site_label
_atom_site_type_symbol
_atom_site_fract_x
_atom_site_fract_y
_atom_site_fract_z
Pu1 Pu 0.138 0.250 0.001
Si1 Si 0.038 0.750 0.732
Si2 Si 0.215 0.250 0.474
Rh1 Rh 0.031 0.750 0.137
Rh2 Rh 0.071 0.250 0.509
Rh3 Rh 0.184 0.750 0.689
Rh4 Rh 0.197 0.750 0.267
# M_tot: 4.78 μB/f.u.
# VASP energy: -8.5518 eV/atom

***

Entry 9:
# In3BMo (PBE-GGA, optimized geometry)
data_In3BMo
_chemical_formula_sum 'In3 B1 Mo1'
_space_group_name_H-M_alt 'P m -3 m'
_space_group_IT_number 221
_space_group_name_Hall '-P 4 2 3'
_cell_length_a 5.275
_cell_length_b 5.275
_cell_length_c 5.275
_cell_angle_alpha 90.00
_cell_angle_beta 90.00
_cell_angle_gamma 90.00
loop_
_atom_site_label
_atom_site_type_symbol
_atom_site_fract_x
_atom_site_fract_y
_atom_site_fract_z
In1 In 0.000 0.000 0.500
B1 B 0.500 0.500 0.500
Mo1 Mo 0.000 0.000 0.000
# M_tot: 0.00 μB/f.u.
# VASP energy: -3.6962 eV/atom
# Energy above the lowest structure with this stoichiometry: 318 meV/atom
# Formation energy: 1.4485 eV/atom

***

Entry 10:
# Tm5Ir3 (PBE-GGA, optimized geometry)
data_Tm5Ir3
_chemical_formula_sum 'Tm10 Ir6'
_space_group_name_H-M_alt 'P 63/m c m'
_space_group_IT_number 193
_space_group_name_Hall '-P 6c 2'
_cell_length_a 8.2402
_cell_length_b 8.2402
_cell_length_c 6.1060
_cell_angle_alpha 90.00
_cell_angle_beta 90.00
_cell_angle_gamma 120.00
loop_
_atom_site_label
_atom_site_type_symbol
_atom_site_fract_x
_atom_site_fract_y
_atom_site_fract_z
Tm1 Tm 0.0000 0.2621 0.2500
Tm2 Tm 0.3333 0.6667 0.0000
Ir1 Ir 0.0000 0.3884 0.7500
# M_tot: 0.00 μB/f.u.
# VASP energy: -6.9575 eV/atom
# Energy above the lowest structure with this stoichiometry: 36 meV/atom
# Formation energy: -0.8400 eV/atom

***

Entry 11:
# LaEr3Sc (PBE-GGA, optimized geometry)
data_LaEr3Sc
_chemical_formula_sum 'La2 Er6 Sc2'
_space_group_name_H-M_alt 'P -1'
_space_group_IT_number 2
_cell_length_a 6.182
_cell_length_b 6.628
_cell_length_c 8.324
_cell_angle_alpha 77.55
_cell_angle_beta 68.26
_cell_angle_gamma 89.92
loop_
_space_group_symop_operation_xyz
'x,y,z'
'-x,-y,-z'
loop_
_atom_site_label
_atom_site_type_symbol
_atom_site_fract_x
_atom_site_fract_y
_atom_site_fract_z
La1 La 0.219 0.348 0.401
Er1 Er 0.018 0.946 0.804
Er2 Er 0.393 0.845 0.397
Er3 Er 0.411 0.750 0.002
Sc1 Sc 0.176 0.448 0.813
# M_tot: 0.00 μB/f.u.
# VASP energy: -4.9581 eV/atom
# Energy above the lowest structure with this stoichiometry: 0 meV/atom
# Formation energy: 0.0314 eV/atom

***

Entry 12:
# ZrTiGaCo (PBE-GGA, optimized geometry)
data_ZrTiGaCo
_chemical_formula_sum 'Zr4 Ti4 Ga4 Co4'
_space_group_name_H-M_alt 'F -4 3 m'
_space_group_IT_number 216
_space_group_name_Hall 'F -4 2 3'
_cell_length_a 6.397
_cell_length_b 6.397
_cell_length_c 6.397
_cell_angle_alpha 90.00
_cell_angle_beta 90.00
_cell_angle_gamma 90.00
loop_
_atom_site_label
_atom_site_type_symbol
_atom_site_fract_x
_atom_site_fract_y
_atom_site_fract_z
Zr1 Zr 0.000 0.000 0.000
Ti1 Ti 0.000 0.000 0.500
Ga1 Ga 0.250 0.250 0.750
Co1 Co 0.250 0.250 0.250
# M_tot: 1.99 μB/f.u.
# VASP energy: -6.9608 eV/atom
# Formation energy: -0.3169 eV/atom